[1]
! TaPRu2, optimized geometry, DFT PBE; values from VASP
! * formation enthalpy at 0 K: -107 meV/atom
! * total moment: 0.000 μB/f.u.
! * crystal system: orthorhombic
! * ρ: 11.8 Mg/m³
! * DOS at the Fermi energy: 3.33 states/eV/cell
! * space group: Pmmm, No. 47
&SYSTEM
  ibrav = 0, nat = 4, ntyp = 3
/
ATOMIC_SPECIES
Ta 180.95 Ta.upf
P 30.97 P.upf
Ru 101.07 Ru.upf
CELL_PARAMETERS angstrom
2.9844 0.0000 0.0000
0.0000 4.3012 0.0000
0.0000 0.0000 4.5261
ATOMIC_POSITIONS crystal
Ta 0.5000 0.5000 0.0000
P 0.0000 0.5000 0.5000
Ru 0.0000 0.0000 0.0000
Ru 0.5000 0.0000 0.5000

[2]
! LiIr3Os, optimized geometry, DFT PBE; values from VASP
! * formation enthalpy at 0 K: -18 meV/atom
! * total moment: 0.000 μB/f.u.
! * energy above the most stable polymorph in this dataset: 0 meV per atom
! * crystal system: monoclinic
! * ρ: 18.3 Mg/m³
! * DOS at the Fermi energy: 7.51 states/eV/cell
! * space group: C2/m, No. 12
&SYSTEM
  ibrav = 0, nat = 10, ntyp = 3
/
ATOMIC_SPECIES
Li 6.94 Li.upf
Ir 192.22 Ir.upf
Os 190.23 Os.upf
CELL_PARAMETERS angstrom
2.7167 0.2537 0.0264
0.5848 8.4287 -0.3338
0.0727 -1.4838 6.2424
ATOMIC_POSITIONS crystal
Li 0.8748 0.3746 0.5276
Li 0.6409 0.8432 0.5681
Ir 0.4765 0.1717 0.7243
Ir 0.0386 0.0461 0.3713
Ir 0.2413 0.6399 0.7620
Ir 0.4415 0.2413 0.1546
Ir 0.0737 0.9765 0.9410
Ir 0.2740 0.5779 0.3337
Os 0.8386 0.4473 0.9708
Os 0.6766 0.7704 0.1248

[3]
! LiTcHg2, optimized geometry, DFT PBE; values from VASP
! * formation enthalpy at 0 K: 249 meV/atom
! * total moment: 0.000 μB/f.u.
! * energy above the most stable polymorph in this dataset: 90 meV per atom
! * crystal system: monoclinic
! * ρ: 11.7 Mg/m³
! * DOS at the Fermi energy: 1.77 states/eV/cell
! * space group: Cm, No. 8
&SYSTEM
  ibrav = 0, nat = 4, ntyp = 3
/
ATOMIC_SPECIES
Hg 200.59 Hg.upf
Li 6.94 Li.upf
Tc 98.00 Tc.upf
CELL_PARAMETERS angstrom
5.4414 0.0039 0.0215
4.6771 2.7810 0.0215
1.5363 0.4228 4.7611
ATOMIC_POSITIONS crystal
Hg 0.9942 0.9942 0.0996
Hg 0.7519 0.7519 0.6634
Li 0.5037 0.5037 0.5749
Tc 0.2502 0.2502 0.1621

[4]
! NaNp4Te6, optimized geometry, DFT PBE; values from VASP
! * formation energy (no corrections): -614.6 meV per atom
! * total moment: 0.723 μB/f.u.
! * crystal system: orthorhombic
! * ρ: 7.9 Mg/m³
! * DOS at the Fermi energy: 86.12 states/eV/cell
! * space group: Cmcm, No. 63
&SYSTEM
  ibrav = 0, nat = 22, ntyp = 3
/
ATOMIC_SPECIES
Na 22.99 Na.upf
Np 237.00 Np.upf
Te 127.60 Te.upf
CELL_PARAMETERS angstrom
-2.3533 -2.6430 2.6320
-1.6902 -1.9047 -7.1190
17.1094 -15.2231 0.0110
ATOMIC_POSITIONS crystal
Na 0.6664 0.3329 0.2500
Na 0.3336 0.6671 0.7500
Np 0.8616 0.7233 0.5395
Np 0.4110 0.8221 0.1298
Np 0.1384 0.2767 0.4605
Np 0.5890 0.1779 0.8702
Np 0.8616 0.7233 0.9605
Np 0.1384 0.2767 0.0395
Np 0.5890 0.1779 0.6298
Np 0.4110 0.8221 0.3702
Te 0.5000 0.0000 0.0000
Te 0.5000 0.0000 0.5000
Te 0.0491 0.0981 0.3378
Te 0.9509 0.9019 0.6622
Te 0.9509 0.9019 0.8378
Te 0.0491 0.0981 0.1622
Te 0.7715 0.5430 0.4147
Te 0.2285 0.4570 0.5853
Te 0.2285 0.4570 0.9147
Te 0.7715 0.5430 0.0853
Te 0.3278 0.6557 0.2500
Te 0.6722 0.3443 0.7500

[5]
! Tc2PBr, optimized geometry, DFT PBE; values from VASP
! * formation energy (no corrections): 113.0 meV per atom
! * total moment: 0.000 μB/f.u.
! * energy above the most stable polymorph in this dataset: 175 meV per atom
! * crystal system: tetragonal
! * ρ: 7.3 Mg/m³
! * DOS at the Fermi energy: 2.04 states/eV/cell
! * space group: P4mm, No. 99
&SYSTEM
  ibrav = 0, nat = 4, ntyp = 3
/
ATOMIC_SPECIES
Br 79.90 Br.upf
P 30.97 P.upf
Tc 98.00 Tc.upf
CELL_PARAMETERS angstrom
2.9750 0.0000 0.0000
0.0000 2.9750 0.0000
0.0000 0.0000 7.8769
ATOMIC_POSITIONS crystal
Br 0.0000 0.0000 0.4423
P 0.5000 0.5000 0.8338
Tc 0.0000 0.0000 0.0000
Tc 0.5000 0.5000 0.2240

[6]
! TiIr2Pb, optimized geometry, DFT PBE; values from VASP
! * formation enthalpy at 0 K: 309 meV/atom
! * total moment: 0.000 μB/f.u.
! * crystal system: tetragonal
! * ρ: 13.7 Mg/m³
! * DOS at the Fermi energy: 9.45 states/eV/cell
! * space group: I-42d, No. 122
&SYSTEM
  ibrav = 0, nat = 8, ntyp = 3
/
ATOMIC_SPECIES
Pb 207.20 Pb.upf
Ir 192.22 Ir.upf
Ti 47.87 Ti.upf
CELL_PARAMETERS angstrom
-0.2549 -2.3573 -3.4672
-0.0043 -3.4734 2.3618
-8.8775 -2.6089 -0.1179
ATOMIC_POSITIONS crystal
Pb 0.0000 0.0000 0.0000
Pb 0.7500 0.2500 0.5000
Ir 0.5779 0.1250 0.2500
Ir 0.1721 0.6250 0.2500
Ir 0.3750 0.4221 0.7500
Ir 0.8750 0.8279 0.7500
Ti 0.5000 0.5000 0.0000
Ti 0.2500 0.7500 0.5000